This record from Alexandria describes a geometry-optimized Ce3Te5 structure. The functional is GGA-PBE.

Summary:
- Space-group type: C2/m
- Size of the total moment: 4.03 Bohr magnetons per cell
- E: -0.201 Ha/atom
- Volume: 32.20 Å³ per atom

Cell lengths 7.3951, 8.5174, 9.2188 Å; angles 84.28, 66.35, 75.62 degrees
With the nearest neighbours (Å) after each atom.
Atoms (fractional coordinates):
Ce 0.6556 0.5004 0.1878  8 Te 3.19-3.34
Ce 0.7462 0.0004 0.0068  8 Te 3.20-3.31
Ce 0.0688 0.1985 0.5000  8 Te 3.10-3.41
Ce 0.9303 0.8023 0.5000  8 Te 3.10-3.41
Ce 0.2530 0.0004 0.9932  8 Te 3.20-3.31
Ce 0.3434 0.5004 0.8122  8 Te 3.19-3.34
Te 0.1676 0.8767 0.7131  5 Ce 3.21-3.33
Te 0.9856 0.2986 0.8747  5 Ce 3.20-3.41
Te 0.2634 0.4818 0.5000  4 Ce 3.10-3.19
Te 0.3807 0.8767 0.2869  5 Ce 3.21-3.33
Te 0.6389 0.7022 0.8747  5 Ce 3.20-3.41
Te 0.3604 0.2986 0.1253  5 Ce 3.20-3.41
Te 0.6185 0.1241 0.7131  5 Ce 3.21-3.33
Te 0.7357 0.5190 0.5000  4 Ce 3.10-3.19
Te 0.0136 0.7022 0.1253  5 Ce 3.20-3.41
Te 0.8316 0.1241 0.2869  5 Ce 3.21-3.33

---

This record from Alexandria describes a geometry-optimized RbEu2Pt structure. The functional is GGA-PBE.

Summary:
- Space-group type: P4/mmm
- Relative energy among the computed polymorphs: 0.049 eV/atom
- Size of the total moment: 14.68 Bohr magnetons per cell
- E: -0.267 Ha/atom
- E_form: -0.39 eV per atom
- Volume: 39.17 Å³ per atom

Cell lengths 3.7654, 3.7654, 11.0516 Å; angles 90.00, 90.00, 90.00 degrees
With the nearest neighbours (Å) after each atom.
Atoms (fractional coordinates):
Eu 0.0000 0.0000 0.8502  4 Pt 3.14, 1 Eu 3.31
Eu 0.0000 0.0000 0.1498  4 Pt 3.14, 1 Eu 3.31
Rb 0.5000 0.5000 0.5000  4 Rb 3.77
Pt 0.5000 0.5000 0.0000  8 Eu 3.14

---

This record from Alexandria describes a geometry-optimized NpSc2UC4 structure. The functional is GGA-PBE.

Summary:
- Space-group type: P2/m
- Size of the total moment: 2.58 Bohr magnetons per cell
- E: -0.348 Ha/atom
- E_form: -0.24 eV per atom
- Volume: 14.25 Å³ per atom

Cell lengths 3.4515, 5.8735, 5.9727 Å; angles 70.33, 90.00, 90.00 degrees
With the nearest neighbours (Å) after each atom.
Atoms (fractional coordinates):
Np 0.5000 0.5000 0.0000  6 C 2.38-2.40
Sc 0.0000 0.0000 0.0000  6 C 2.47
Sc 0.5000 0.0000 0.5000  6 C 2.46
U 0.0000 0.5000 0.5000  6 C 2.38
C 0.0000 0.7391 0.7516  1 U 2.38, 2 Np 2.40, 3 Sc 2.46-2.47
C 0.0000 0.2609 0.2484  1 U 2.38, 2 Np 2.40, 3 Sc 2.46-2.47
C 0.5000 0.7368 0.2550  1 Np 2.38, 2 U 2.38, 3 Sc 2.46-2.47
C 0.5000 0.2632 0.7450  1 Np 2.38, 2 U 2.38, 3 Sc 2.46-2.47

---

This record from Alexandria describes a geometry-optimized Ac3Cd2In9 structure. The functional is GGA-PBE.

Summary:
- Space-group type: Immm
- Size of the total moment: 0.00 Bohr magnetons per cell
- E: -0.115 Ha/atom
- E_form: -0.35 eV per atom
- Volume: 28.52 Å³ per atom

Cell lengths 4.8498, 9.5132, 9.5132 Å; angles 73.69, 75.23, 75.23 degrees
With the nearest neighbours (Å) after each atom.
Atoms (fractional coordinates):
Ac 0.0000 0.0000 0.0000  12 In 3.66-3.76
Ac 0.6821 0.3179 0.3179  2 Cd 3.54, 10 In 3.57-3.62
Ac 0.3179 0.6821 0.6821  2 Cd 3.54, 10 In 3.57-3.62
Cd 0.5000 0.2916 0.7084  6 In 2.99-3.17
Cd 0.5000 0.7084 0.2916  6 In 2.99-3.17
In 0.0000 0.5000 0.5000  4 In 3.26, 4 Cd 3.40, 4 Ac 3.58
In 0.6614 0.9658 0.7115  4 In 2.90-3.05, 1 Cd 2.99
In 0.3386 0.0342 0.2885  4 In 2.90-3.05, 1 Cd 2.99
In 0.6614 0.7115 0.9658  4 In 2.90-3.05, 1 Cd 2.99
In 0.3386 0.2885 0.0342  4 In 2.90-3.05, 1 Cd 2.99
In 0.8588 0.8647 0.4176  4 In 2.98-3.26, 2 Cd 3.17
In 0.1412 0.1353 0.5824  4 In 2.98-3.26, 2 Cd 3.17
In 0.8588 0.4176 0.8647  4 In 2.98-3.26, 2 Cd 3.17
In 0.1412 0.5824 0.1353  4 In 2.98-3.26, 2 Cd 3.17

---

This record from Alexandria describes a geometry-optimized LiMnNb3 structure. The functional is GGA-PBE.

Summary:
- Space-group type: Pm-3m
- Relative energy among the computed polymorphs: 0.597 eV/atom
- Size of the total moment: 0.15 Bohr magnetons per cell
- E: -0.253 Ha/atom
- E_form: 1.37 eV per atom
- Volume: 16.41 Å³ per atom

Cell lengths 4.3456, 4.3456, 4.3456 Å; angles 90.00, 90.00, 90.00 degrees
With the nearest neighbours (Å) after each atom.
Atoms (fractional coordinates):
Nb 0.0000 0.5000 0.0000  2 Li 2.17
Nb 0.0000 0.0000 0.5000  2 Li 2.17
Nb 0.5000 0.0000 0.0000  2 Li 2.17
Mn 0.5000 0.5000 0.5000  12 Nb 3.07
Li 0.0000 0.0000 0.0000  6 Nb 2.17

---

This record from Alexandria describes a geometry-optimized CePrNd2Sb4 structure. The functional is GGA-PBE.

Summary:
- Space-group type: P2/m
- Size of the total moment: 0.72 Bohr magnetons per cell
- E: -0.211 Ha/atom
- Volume: 32.78 Å³ per atom

Cell lengths 4.5226, 7.8401, 7.8397 Å; angles 109.37, 90.00, 90.00 degrees
With the nearest neighbours (Å) after each atom.
Atoms (fractional coordinates):
Ce 0.5000 0.5000 0.0000  6 Sb 3.18-3.19
Pr 0.0000 0.0000 0.0000  6 Sb 3.21
Nd 0.5000 0.0000 0.5000  6 Sb 3.22
Nd 0.0000 0.5000 0.5000  6 Sb 3.19
Sb 0.5000 0.2530 0.2497  1 Ce 3.18, 3 Nd 3.19-3.22, 2 Pr 3.21
Sb 0.5000 0.7470 0.7503  1 Ce 3.18, 3 Nd 3.19-3.22, 2 Pr 3.21
Sb 0.0000 0.2530 0.7516  2 Ce 3.19, 3 Nd 3.19-3.22, 1 Pr 3.21
Sb 0.0000 0.7470 0.2484  2 Ce 3.19, 3 Nd 3.19-3.22, 1 Pr 3.21

---

This record from Alexandria describes a geometry-optimized TbHoSnRu structure. The functional is GGA-PBE.

Summary:
- Space-group type: F-43m
- Relative energy among the computed polymorphs: 0.088 eV/atom
- Size of the total moment: 0.00 Bohr magnetons per cell
- E: -0.222 Ha/atom
- E_form: -0.41 eV per atom
- Volume: 23.06 Å³ per atom

Cell lengths 5.0714, 5.0714, 5.0714 Å; angles 60.00, 60.00, 60.00 degrees
With the nearest neighbours (Å) after each atom.
Atoms (fractional coordinates):
Ru 0.7500 0.7500 0.7500  4 Ho 3.11, 4 Tb 3.11
Tb 0.0000 0.0000 0.0000  4 Ru 3.11, 4 Sn 3.11
Ho 0.5000 0.5000 0.5000  4 Sn 3.11, 4 Ru 3.11
Sn 0.2500 0.2500 0.2500  4 Tb 3.11, 4 Ho 3.11

---

This record from Alexandria describes a geometry-optimized Nd2Cd2Ge4Pd structure. The functional is GGA-PBE.

Summary:
- Space-group type: I4/mmm
- Size of the total moment: 0.00 Bohr magnetons per cell
- E: -0.159 Ha/atom
- E_form: -0.44 eV per atom
- Volume: 21.95 Å³ per atom

Cell lengths 6.4952, 6.4952, 6.4952 Å; angles 92.39, 118.63, 118.63 degrees
With the nearest neighbours (Å) after each atom.
Atoms (fractional coordinates):
Nd 0.5000 0.7500 0.2500  8 Ge 3.25, 4 Cd 3.34
Nd 0.5000 0.2500 0.7500  8 Ge 3.25, 4 Cd 3.34
Cd 0.0000 0.7036 0.7036  1 Pd 2.67, 4 Ge 2.83
Cd 0.0000 0.2964 0.2964  1 Pd 2.67, 4 Ge 2.83
Ge 0.0000 0.7305 0.2695  1 Pd 2.53
Ge 0.4610 0.7305 0.7305  1 Pd 2.53
Ge 0.0000 0.2695 0.7305  1 Pd 2.53
Ge 0.5390 0.2695 0.2695  1 Pd 2.53
Pd 0.0000 0.0000 0.0000  4 Ge 2.53, 2 Cd 2.67